No. 1
A plane-wave DFT calculation with GGA-PBE was carried out for crystalline BaY3F11 at its relaxed geometry.

CIF file:
```
data_BaY3F11
_cell_length_a 8.793
_cell_length_b 4.420
_cell_length_c 16.304
_cell_angle_alpha 90.00
_cell_angle_beta 90.00
_cell_angle_gamma 90.00
_space_group_name_H-M_alt 'P 1'
_space_group_IT_number 1
loop_
_space_group_symop_operation_xyz
'x,y,z'
loop_
_atom_site_label
_atom_site_fract_x
_atom_site_fract_y
_atom_site_fract_z
Ba1 0.250 0.000 0.011
Ba2 0.750 0.000 0.989
Y1 0.000 0.000 0.231
Y2 0.000 0.000 0.500
Y3 0.000 0.000 0.769
Y4 0.500 0.000 0.231
Y5 0.500 0.000 0.500
Y6 0.500 0.000 0.769
F1 0.000 0.500 0.500
F2 0.007 0.500 0.765
F3 0.016 0.000 0.366
F4 0.023 0.000 0.903
F5 0.250 0.000 0.215
F6 0.250 0.000 0.508
F7 0.250 0.000 0.767
F8 0.250 0.500 0.074
F9 0.477 0.000 0.903
F10 0.484 0.000 0.366
F11 0.493 0.500 0.765
F12 0.500 0.500 0.500
F13 0.507 0.500 0.235
F14 0.516 0.000 0.634
F15 0.523 0.000 0.097
F16 0.750 0.000 0.233
F17 0.750 0.000 0.492
F18 0.750 0.000 0.785
F19 0.750 0.500 0.926
F20 0.977 0.000 0.097
F21 0.984 0.000 0.634
F22 0.993 0.500 0.235
```

Calculated values
formation energy from raw total energies = -4.0223 eV/atom
energy = -6.82 eV per atom
volume = 633.68 Å³/cell
space-group type = Pmma
energy above the lowest structure with this stoichiometry = 0.023 eV per atom

=====

No. 2
A plane-wave DFT calculation with GGA-PBE was carried out for crystalline Cr2CoRe at its relaxed geometry.

CIF file:
```
data_Cr2CoRe
_cell_length_a 4.785
_cell_length_b 4.785
_cell_length_c 4.785
_cell_angle_alpha 143.75
_cell_angle_beta 129.31
_cell_angle_gamma 63.90
_space_group_name_H-M_alt 'P 1'
_space_group_IT_number 1
loop_
_space_group_symop_operation_xyz
'x,y,z'
loop_
_atom_site_label
_atom_site_fract_x
_atom_site_fract_y
_atom_site_fract_z
Cr1 0.000 0.000 0.000
Cr2 0.773 0.273 0.500
Co1 0.515 0.515 0.000
Re1 0.249 0.749 0.500
```

Calculated values
energy = -9.58 eV per atom
volume = 49.51 Å³/cell
energy relative to the elements = 117 meV/atom
space-group type = Imm2

=====

No. 3
A plane-wave DFT calculation with GGA-PBE was carried out for crystalline LiSiAsBr2 at its relaxed geometry.

CIF file:
```
data_LiSiAsBr2
_cell_length_a 5.416
_cell_length_b 5.416
_cell_length_c 4.733
_cell_angle_alpha 90.00
_cell_angle_beta 90.00
_cell_angle_gamma 90.00
_space_group_name_H-M_alt 'P 1'
_space_group_IT_number 1
loop_
_space_group_symop_operation_xyz
'x,y,z'
loop_
_atom_site_label
_atom_site_fract_x
_atom_site_fract_y
_atom_site_fract_z
Li1 0.000 0.000 0.000
Si1 0.500 0.500 0.500
As1 0.500 0.500 0.000
Br1 0.000 0.500 0.500
Br2 0.500 0.000 0.500
```

Calculated values
formation energy from raw total energies = -0.0517 eV/atom
energy = -3.12 eV per atom
volume = 138.85 Å³/cell
space-group type = P4/mmm
energy above the lowest structure with this stoichiometry = 0.000 eV per atom

=====

No. 4
A plane-wave DFT calculation with GGA-PBE was carried out for crystalline V4TcMo4 at its relaxed geometry.

CIF file:
```
data_V4TcMo4
_cell_length_a 6.712
_cell_length_b 6.712
_cell_length_c 6.712
_cell_angle_alpha 93.01
_cell_angle_beta 93.01
_cell_angle_gamma 153.50
_space_group_name_H-M_alt 'P 1'
_space_group_IT_number 1
loop_
_space_group_symop_operation_xyz
'x,y,z'
loop_
_atom_site_label
_atom_site_fract_x
_atom_site_fract_y
_atom_site_fract_z
V1 0.164 0.164 0.329
V2 0.164 0.836 0.000
V3 0.836 0.164 0.000
V4 0.836 0.836 0.671
Tc1 0.500 0.500 0.000
Mo1 0.170 0.500 0.670
Mo2 0.500 0.170 0.670
Mo3 0.500 0.830 0.330
Mo4 0.830 0.500 0.330
```

Calculated values
energy = -10.21 eV per atom
volume = 131.34 Å³/cell
energy relative to the elements = -191 meV/atom
space-group type = I4/mmm

=====

No. 5
A plane-wave DFT calculation with GGA-PBE was carried out for crystalline KTlZnCl4 at its relaxed geometry.

CIF file:
```
data_KTlZnCl4
_cell_length_a 7.197
_cell_length_b 7.188
_cell_length_c 8.825
_cell_angle_alpha 90.00
_cell_angle_beta 108.24
_cell_angle_gamma 90.00
_space_group_name_H-M_alt 'P 1'
_space_group_IT_number 1
loop_
_space_group_symop_operation_xyz
'x,y,z'
loop_
_atom_site_label
_atom_site_fract_x
_atom_site_fract_y
_atom_site_fract_z
K1 0.218 0.250 0.052
K2 0.782 0.750 0.948
Tl1 0.271 0.250 0.571
Tl2 0.729 0.750 0.429
Zn1 0.227 0.750 0.799
Zn2 0.773 0.250 0.201
Cl1 0.014 0.502 0.743
Cl2 0.014 0.998 0.743
Cl3 0.402 0.750 0.064
Cl4 0.420 0.750 0.638
Cl5 0.580 0.250 0.362
Cl6 0.598 0.250 0.936
Cl7 0.986 0.002 0.257
Cl8 0.986 0.498 0.257
```

Calculated values
formation energy from raw total energies = -1.3765 eV/atom
energy = -3.11 eV per atom
volume = 433.60 Å³/cell
space-group type = P2_1/m

=====

No. 6
A plane-wave DFT calculation with GGA-PBE was carried out for crystalline Sc3WAu at its relaxed geometry.

CIF file:
```
data_Sc3WAu
_cell_length_a 5.018
_cell_length_b 5.018
_cell_length_c 5.018
_cell_angle_alpha 90.00
_cell_angle_beta 90.00
_cell_angle_gamma 90.00
_space_group_name_H-M_alt 'P 1'
_space_group_IT_number 1
loop_
_space_group_symop_operation_xyz
'x,y,z'
loop_
_atom_site_label
_atom_site_fract_x
_atom_site_fract_y
_atom_site_fract_z
Sc1 0.000 0.000 0.500
Sc2 0.000 0.500 0.000
Sc3 0.500 0.000 0.000
W1 0.000 0.000 0.000
Au1 0.500 0.500 0.500
```

Calculated values
energy = -6.52 eV per atom
volume = 126.33 Å³/cell
energy relative to the elements = 529 meV/atom
space-group type = Pm-3m
energy above the lowest structure with this stoichiometry = 0.000 eV per atom

=====

No. 7
A plane-wave DFT calculation with GGA-PBE was carried out for crystalline ZnClO at its relaxed geometry.

CIF file:
```
data_ZnClO
_cell_length_a 3.236
_cell_length_b 3.236
_cell_length_c 6.405
_cell_angle_alpha 90.00
_cell_angle_beta 90.00
_cell_angle_gamma 120.00
_space_group_name_H-M_alt 'P 1'
_space_group_IT_number 1
loop_
_space_group_symop_operation_xyz
'x,y,z'
loop_
_atom_site_label
_atom_site_fract_x
_atom_site_fract_y
_atom_site_fract_z
Zn1 0.000 0.000 0.000
Cl1 0.333 0.667 0.500
O1 0.667 0.333 0.000
```

Calculated values
formation energy from raw total energies = -0.5807 eV/atom
energy = -3.27 eV per atom
volume = 58.10 Å³/cell
space-group type = P-6m2
energy above the lowest structure with this stoichiometry = 0.321 eV per atom

=====

No. 8
A plane-wave DFT calculation with GGA-PBE was carried out for crystalline CsBrN2F at its relaxed geometry.

CIF file:
```
data_CsBrN2F
_cell_length_a 4.060
_cell_length_b 4.060
_cell_length_c 6.103
_cell_angle_alpha 90.00
_cell_angle_beta 90.00
_cell_angle_gamma 90.00
_space_group_name_H-M_alt 'P 1'
_space_group_IT_number 1
loop_
_space_group_symop_operation_xyz
'x,y,z'
loop_
_atom_site_label
_atom_site_fract_x
_atom_site_fract_y
_atom_site_fract_z
Cs1 0.000 0.000 0.000
Br1 0.500 0.500 0.500
N1 0.000 0.500 0.500
N2 0.500 0.000 0.500
F1 0.500 0.500 0.000
```

Calculated values
formation energy from raw total energies = 0.8512 eV/atom
energy = -3.36 eV per atom
volume = 100.58 Å³/cell
space-group type = P4/mmm
energy above the lowest structure with this stoichiometry = 0.000 eV per atom

=====

No. 9
A plane-wave DFT calculation with GGA-PBE was carried out for crystalline Pm3ICl2O6 at its relaxed geometry.

CIF file:
```
data_Pm3ICl2O6
_cell_length_a 6.959
_cell_length_b 6.959
_cell_length_c 5.590
_cell_angle_alpha 98.46
_cell_angle_beta 98.46
_cell_angle_gamma 59.38
_space_group_name_H-M_alt 'P 1'
_space_group_IT_number 1
loop_
_space_group_symop_operation_xyz
'x,y,z'
loop_
_atom_site_label
_atom_site_fract_x
_atom_site_fract_y
_atom_site_fract_z
Pm1 0.000 0.000 0.000
Pm2 0.000 0.500 0.500
Pm3 0.500 0.000 0.500
I1 0.500 0.500 0.500
Cl1 0.206 0.206 0.855
Cl2 0.794 0.794 0.145
O1 0.192 0.684 0.705
O2 0.316 0.808 0.295
O3 0.333 0.333 0.331
O4 0.667 0.667 0.669
O5 0.684 0.192 0.705
O6 0.808 0.316 0.295
```

Calculated values
formation energy from raw total energies = -1.9834 eV/atom
energy = -6.09 eV per atom
volume = 229.57 Å³/cell
space-group type = C2/m

=====

No. 10
A plane-wave DFT calculation with GGA-PBE was carried out for crystalline Nd2YHg at its relaxed geometry.

CIF file:
```
data_Nd2YHg
_cell_length_a 6.509
_cell_length_b 6.509
_cell_length_c 10.565
_cell_angle_alpha 90.00
_cell_angle_beta 90.00
_cell_angle_gamma 146.50
_space_group_name_H-M_alt 'P 1'
_space_group_IT_number 1
loop_
_space_group_symop_operation_xyz
'x,y,z'
loop_
_atom_site_label
_atom_site_fract_x
_atom_site_fract_y
_atom_site_fract_z
Nd1 0.131 0.869 0.540
Nd2 0.131 0.869 0.960
Nd3 0.869 0.131 0.040
Nd4 0.869 0.131 0.460
Y1 0.451 0.549 0.750
Y2 0.549 0.451 0.250
Hg1 0.256 0.744 0.250
Hg2 0.744 0.256 0.750
```

Calculated values
energy = -4.31 eV per atom
volume = 247.04 Å³/cell
energy relative to the elements = -233 meV/atom
space-group type = Cmcm
energy above the lowest structure with this stoichiometry = 0.005 eV per atom

=====

No. 11
A plane-wave DFT calculation with GGA-PBE was carried out for crystalline PmTm7Tl2 at its relaxed geometry.

CIF file:
```
data_PmTm7Tl2
_cell_length_a 8.863
_cell_length_b 8.863
_cell_length_c 5.381
_cell_angle_alpha 90.00
_cell_angle_beta 90.00
_cell_angle_gamma 118.37
_space_group_name_H-M_alt 'P 1'
_space_group_IT_number 1
loop_
_space_group_symop_operation_xyz
'x,y,z'
loop_
_atom_site_label
_atom_site_fract_x
_atom_site_fract_y
_atom_site_fract_z
Pm1 0.000 0.000 0.000
Tm1 0.059 0.303 0.500
Tm2 0.230 0.770 0.000
Tm3 0.303 0.059 0.500
Tm4 0.500 0.500 0.500
Tm5 0.697 0.941 0.500
Tm6 0.770 0.230 0.000
Tm7 0.941 0.697 0.500
Tl1 0.305 0.695 0.500
Tl2 0.695 0.305 0.500
```

Calculated values
energy = -3.71 eV per atom
volume = 371.91 Å³/cell
energy relative to the elements = 372 meV/atom
space-group type = Cmmm

=====

No. 12
A plane-wave DFT calculation with GGA-PBE was carried out for crystalline Cs2SiPbF6 at its relaxed geometry.

CIF file:
```
data_Cs2SiPbF6
_cell_length_a 6.600
_cell_length_b 6.600
_cell_length_c 6.600
_cell_angle_alpha 60.00
_cell_angle_beta 60.00
_cell_angle_gamma 60.00
_space_group_name_H-M_alt 'P 1'
_space_group_IT_number 1
loop_
_space_group_symop_operation_xyz
'x,y,z'
loop_
_atom_site_label
_atom_site_fract_x
_atom_site_fract_y
_atom_site_fract_z
Cs1 0.250 0.250 0.250
Cs2 0.750 0.750 0.750
Si1 0.000 0.000 0.000
Pb1 0.500 0.500 0.500
F1 0.234 0.234 0.766
F2 0.234 0.766 0.234
F3 0.234 0.766 0.766
F4 0.766 0.234 0.234
F5 0.766 0.234 0.766
F6 0.766 0.766 0.234
```

Calculated values
formation energy from raw total energies = -2.3727 eV/atom
energy = -4.58 eV per atom
volume = 203.29 Å³/cell
space-group type = Fm-3m

=====

No. 13
A plane-wave DFT calculation with GGA-PBE was carried out for crystalline Rb2BaNa3 at its relaxed geometry.

CIF file:
```
data_Rb2BaNa3
_cell_length_a 4.728
_cell_length_b 4.728
_cell_length_c 15.413
_cell_angle_alpha 90.00
_cell_angle_beta 90.00
_cell_angle_gamma 90.00
_space_group_name_H-M_alt 'P 1'
_space_group_IT_number 1
loop_
_space_group_symop_operation_xyz
'x,y,z'
loop_
_atom_site_label
_atom_site_fract_x
_atom_site_fract_y
_atom_site_fract_z
Rb1 0.000 0.000 0.173
Rb2 0.000 0.000 0.827
Ba1 0.000 0.000 0.500
Na1 0.500 0.500 0.000
Na2 0.500 0.500 0.347
Na3 0.500 0.500 0.653
```

Calculated values
energy = -1.27 eV per atom
volume = 344.51 Å³/cell
energy relative to the elements = 30 meV/atom
space-group type = P4/mmm

=====

No. 14
A plane-wave DFT calculation with GGA-PBE was carried out for crystalline ErBi2Pb at its relaxed geometry.

CIF file:
```
data_ErBi2Pb
_cell_length_a 4.217
_cell_length_b 4.217
_cell_length_c 6.802
_cell_angle_alpha 90.00
_cell_angle_beta 90.00
_cell_angle_gamma 90.00
_space_group_name_H-M_alt 'P 1'
_space_group_IT_number 1
loop_
_space_group_symop_operation_xyz
'x,y,z'
loop_
_atom_site_label
_atom_site_fract_x
_atom_site_fract_y
_atom_site_fract_z
Er1 0.000 0.000 0.000
Bi1 0.500 0.500 0.233
Bi2 0.500 0.500 0.767
Pb1 0.000 0.000 0.500
```

Calculated values
energy = -4.33 eV per atom
volume = 120.95 Å³/cell
energy relative to the elements = -317 meV/atom
space-group type = P4/mmm
energy above the lowest structure with this stoichiometry = 0.000 eV per atom

=====

No. 15
A plane-wave DFT calculation with GGA-PBE was carried out for crystalline La2Rh2I at its relaxed geometry.

CIF file:
```
data_La2Rh2I
_cell_length_a 8.731
_cell_length_b 8.731
_cell_length_c 8.731
_cell_angle_alpha 152.54
_cell_angle_beta 152.54
_cell_angle_gamma 39.22
_space_group_name_H-M_alt 'P 1'
_space_group_IT_number 1
loop_
_space_group_symop_operation_xyz
'x,y,z'
loop_
_atom_site_label
_atom_site_fract_x
_atom_site_fract_y
_atom_site_fract_z
La1 0.137 0.137 0.000
La2 0.863 0.863 0.000
Rh1 0.250 0.750 0.500
Rh2 0.750 0.250 0.500
I1 0.500 0.500 0.000
```

Calculated values
formation energy from raw total energies = -0.7942 eV/atom
energy = -6.02 eV per atom
volume = 141.23 Å³/cell
space-group type = I4/mmm
energy above the lowest structure with this stoichiometry = 0.139 eV per atom